1.
NpPaSbAu | the Alexandria database | PBE | relaxed; space-group type = F-43m; ΔE_f (raw) = -0.1286 eV per atom
1.0
5.234 0.000 0.000
2.617 4.533 0.000
2.617 1.511 4.273
Pa Np Sb Au
1 1 1 1
Direct
0.250 0.250 0.250
0.750 0.750 0.750
0.500 0.500 0.500
0.000 0.000 0.000


2.
NpPaTcAu | the Alexandria database | PBE | relaxed; space-group type = F-43m; ΔE_f = 0.070 eV/atom
1.0
-2.783 0.315 -4.085
-3.733 -3.178 -0.705
-4.685 1.576 0.310
Np Tc Au Pa
1 1 1 1
Direct
0.250 0.250 0.250
0.500 0.500 0.500
0.000 0.000 0.000
0.750 0.750 0.750


3.
NpPb2Au | the Alexandria database | PBE | relaxed; space-group type = R-3m; energy above the lowest structure with this stoichiometry = 0.191 eV per atom; ΔE_f = 0.240 eV/atom
1.0
5.337 0.000 0.000
2.668 4.622 0.000
2.668 1.541 4.209
Pb Au Np
2 1 1
Direct
0.753 0.753 0.741
0.247 0.247 0.259
0.000 0.000 0.000
0.500 0.500 0.500


4.
NpPb2Au | the Alexandria database | PBE | relaxed; space-group type = P4/mmm; energy above the lowest structure with this stoichiometry = 0.000 eV per atom; ΔE_f = 0.049 eV/atom
1.0
-1.677 2.648 3.189
-4.237 -0.031 -2.202
-1.282 -3.847 2.521
Au Pb Np
1 2 1
Direct
0.500 0.500 0.500
0.000 0.500 0.000
0.000 0.000 0.500
0.500 0.000 0.000


Results for total magnetization: 7.36 4.51 4.36 4.29 (in μB per formula unit, following the order of the records).
Results for ρ: 12.9 14.7 13.6 13.8 (in g/cm3, following the order of the records).